1.
# GGA-PBE Ba2TlPbO, relaxed
data_Ba2TlPbO
_cell_length_a 5.377
_cell_length_b 5.377
_cell_length_c 5.493
_cell_angle_alpha 90.00
_cell_angle_beta 90.00
_cell_angle_gamma 90.00
_symmetry_space_group_name_H-M 'P 1'
_symmetry_Int_Tables_number 1
_symmetry_space_group_name_Hall 'P 1'
loop_
_atom_site_label
_atom_site_type_symbol
_atom_site_fract_x
_atom_site_fract_y
_atom_site_fract_z
Ba1 Ba 0.000 0.500 0.000
Ba2 Ba 0.500 0.000 0.000
Pb1 Pb 0.500 0.500 0.500
O1 O 0.000 0.000 0.000
Tl1 Tl 0.000 0.000 0.500
# formation energy from raw total energies = -1077 meV/atom
# M_tot = 0.0 Bohr magnetons per cell
# E_tot = -4.052 eV/atom

=====

2.
# GGA-PBE BaTlPb2O4, relaxed
data_BaTlPb2O4
_cell_length_a 7.563
_cell_length_b 7.563
_cell_length_c 7.693
_cell_angle_alpha 120.57
_cell_angle_beta 120.57
_cell_angle_gamma 89.29
_symmetry_space_group_name_H-M 'P 1'
_symmetry_Int_Tables_number 1
_symmetry_space_group_name_Hall 'P 1'
loop_
_atom_site_label
_atom_site_type_symbol
_atom_site_fract_x
_atom_site_fract_y
_atom_site_fract_z
O1 O 0.764 0.227 0.496
O2 O 0.236 0.773 0.504
O3 O 0.253 0.247 0.540
O4 O 0.273 0.736 0.004
O5 O 0.253 0.247 0.960
O6 O 0.727 0.264 0.996
O7 O 0.747 0.753 0.040
O8 O 0.747 0.753 0.460
Tl1 Tl 0.000 0.000 0.000
Tl2 Tl 0.500 0.500 0.500
Ba1 Ba 0.000 0.500 0.000
Ba2 Ba 0.000 0.500 0.500
Pb1 Pb 0.500 0.000 0.000
Pb2 Pb 0.000 0.000 0.500
Pb3 Pb 0.500 0.500 0.000
Pb4 Pb 0.500 0.000 0.500
# formation energy from raw total energies = -1224 meV/atom
# M_tot = 0.0 Bohr magnetons per cell
# E_tot = -5.167 eV/atom

=====

3.
# GGA-PBE Ba4TmPb3O12, relaxed
data_Ba4TmPb3O12
_cell_length_a 7.545
_cell_length_b 7.545
_cell_length_c 7.545
_cell_angle_alpha 109.47
_cell_angle_beta 109.47
_cell_angle_gamma 109.47
_symmetry_space_group_name_H-M 'P 1'
_symmetry_Int_Tables_number 1
_symmetry_space_group_name_Hall 'P 1'
loop_
_atom_site_label
_atom_site_type_symbol
_atom_site_fract_x
_atom_site_fract_y
_atom_site_fract_z
Ba1 Ba 0.000 0.500 0.000
Ba2 Ba 0.000 0.000 0.500
Ba3 Ba 0.500 0.500 0.500
Ba4 Ba 0.500 0.000 0.000
Tm1 Tm 0.000 0.000 0.000
O1 O 0.000 0.748 0.748
O2 O 0.252 0.252 0.000
O3 O 0.748 0.000 0.748
O4 O 0.500 0.750 0.250
O5 O 0.250 0.750 0.500
O6 O 0.250 0.500 0.750
O7 O 0.748 0.748 0.000
O8 O 0.500 0.250 0.750
O9 O 0.750 0.500 0.250
O10 O 0.000 0.252 0.252
O11 O 0.252 0.000 0.252
O12 O 0.750 0.250 0.500
Pb1 Pb 0.000 0.500 0.500
Pb2 Pb 0.500 0.500 0.000
Pb3 Pb 0.500 0.000 0.500
# formation energy from raw total energies = -1965 meV/atom
# M_tot = 0.0 Bohr magnetons per cell
# E_tot = -6.105 eV/atom